Record 1
# SiAs2Br

A relaxed SiAs2Br crystal (GGA-PBE, the Alexandria database).

```
4
Lattice="-1.815 1.820 7.889 1.815 -1.820 7.889 1.815 1.820 -7.889" Properties=species:S:1:pos:R:3 pbc="T T T"
Si 0.000 0.000 0.000
As 1.815 0.000 5.122
As 0.000 0.000 6.821
Br 0.000 1.820 1.939
```

Relative energy among the computed polymorphs   0.1503 eV per atom
Total magnetic moment   0.00 μB per formula unit
Space group   Imm2

---

Record 2
# MgTa2CrAg

A relaxed MgTa2CrAg crystal (GGA-PBE, the Alexandria database).

```
5
Lattice="4.936 0.000 0.000 0.000 4.936 0.000 0.000 0.000 4.524" Properties=species:S:1:pos:R:3 pbc="T T T"
Mg 0.000 0.000 0.000
Ta 0.000 2.468 2.262
Ta 2.468 0.000 2.262
Cr 2.468 2.468 0.000
Ag 0.000 0.000 2.262
```

Total magnetic moment   0.00 μB per formula unit
Space group   P4/mmm
Calculated formation energy   9.94 eV/f.u.

---

Record 3
# Mg4CrPb

A relaxed Mg4CrPb crystal (GGA-PBE, the Alexandria database).

```
6
Lattice="0.000 4.119 4.119 4.119 0.000 4.119 4.119 4.119 0.000" Properties=species:S:1:pos:R:3 pbc="T T T"
Mg 3.095 3.095 3.095
Mg 5.142 5.142 3.095
Mg 5.142 3.095 5.142
Mg 3.095 5.142 5.142
Cr 6.178 6.178 6.178
Pb 0.000 0.000 0.000
```

Total magnetic moment   4.21 μB per formula unit
Space group   F-43m
Calculated formation energy   1.70 eV/f.u.

---

D(E_F) readings, ordered: 0.68; 7.65; 2.56 states/eV/cell
Final energy readings, ordered: -15.57; -27.84; -18.01 eV per cell